No. 1
CeMg2HgAu4: relaxed, GGA-PBE.

The space group is R-3m (No. 166, hexagonal axes) and the conventional cell measures 4.6692, 4.6692 and 27.3777 Å, with angles of 90.00, 90.00 and 120.00 degrees. The distinct sites, in fractional coordinates, are Ce at (0.0000, 0.0000, 0.0000), Mg at (0.0000, 0.0000, 0.2382), Hg at (0.0000, 0.0000, 0.5000), Au at (0.0000, 0.0000, 0.1158) and Au at (0.0000, 0.0000, 0.3906).

The value obtained for the calculated density is 11.3 Mg/m³. The value obtained for the energy of formation is -0.4690 eV per atom.

=====

No. 2
CeMgHgAu: relaxed, GGA-PBE.

The space group is F-43m (No. 216) and the conventional cell measures 7.195, 7.195 and 7.195 Å, with angles of 90.00, 90.00 and 90.00 degrees. The distinct sites, in fractional coordinates, are Ce at (0.000, 0.000, 0.000), Mg at (0.000, 0.000, 0.500), Hg at (0.250, 0.250, 0.250) and Au at (0.250, 0.250, 0.750).

The value obtained for the calculated density is 10.0 Mg/m³. The value obtained for the energy of formation is -0.5141 eV per atom.

=====

No. 3
CeNiHgAu: relaxed, GGA-PBE.

The space group is F-43m (No. 216) and the conventional cell measures 6.889, 6.889 and 6.889 Å, with angles of 90.00, 90.00 and 90.00 degrees. The distinct sites, in fractional coordinates, are Ce at (0.000, 0.000, 0.000), Ni at (0.250, 0.250, 0.250), Hg at (0.000, 0.000, 0.500) and Au at (0.250, 0.250, 0.750).

The value obtained for the calculated density is 12.1 Mg/m³. The value obtained for the energy of formation is -0.2976 eV per atom.

=====

No. 4
CeHgAuO: relaxed, GGA-PBE.

The space group is I4mm (No. 107) and the conventional cell measures 3.222, 3.222 and 16.907 Å, with angles of 90.00, 90.00 and 90.00 degrees. The distinct sites, in fractional coordinates, are Ce at (0.000, 0.000, 0.000), Hg at (0.000, 0.000, 0.736), Au at (0.000, 0.000, 0.360) and O at (0.000, 0.000, 0.542).

The value obtained for the calculated density is 10.5 Mg/m³. The raw formation energy is -1314 meV per atom.

=====

No. 5
Ce5HgOs2Au: relaxed, GGA-PBE.

The space group is I4/mcm (No. 140) and the conventional cell measures 7.757, 7.757 and 15.100 Å, with angles of 90.00, 90.00 and 90.00 degrees. The distinct sites, in fractional coordinates, are Ce at (0.000, 0.000, 0.000), Ce at (0.205, 0.295, 0.123), Hg at (0.000, 0.000, 0.250), Os at (0.121, 0.379, 0.500) and Au at (0.000, 0.500, 0.250).

The value obtained for the calculated density is 10.8 Mg/m³. The value obtained for the energy of formation is -0.2604 eV per atom.

=====

No. 6
CeHgPbAu: relaxed, GGA-PBE.

The space group is F-43m (No. 216) and the conventional cell measures 7.406, 7.406 and 7.406 Å, with angles of 90.00, 90.00 and 90.00 degrees. The distinct sites, in fractional coordinates, are Ce at (0.000, 0.000, 0.000), Hg at (0.250, 0.250, 0.750), Pb at (0.000, 0.000, 0.500) and Au at (0.250, 0.250, 0.250).

The value obtained for the calculated density is 12.2 Mg/m³. The value obtained for the energy of formation is -0.4192 eV per atom.

=====

No. 7
CeHgPdAu: relaxed, GGA-PBE.

The space group is F-43m (No. 216) and the conventional cell measures 7.019, 7.019 and 7.019 Å, with angles of 90.00, 90.00 and 90.00 degrees. The distinct sites, in fractional coordinates, are Ce at (0.000, 0.000, 0.000), Hg at (0.000, 0.000, 0.500), Pd at (0.250, 0.250, 0.250) and Au at (0.250, 0.250, 0.750).

The value obtained for the calculated density is 12.4 Mg/m³. The value obtained for the energy of formation is -0.5344 eV per atom.

=====

No. 8
CePrHgAu: relaxed, GGA-PBE.

The space group is F-43m (No. 216) and the conventional cell measures 7.569, 7.569 and 7.569 Å, with angles of 90.00, 90.00 and 90.00 degrees. The distinct sites, in fractional coordinates, are Ce at (0.000, 0.000, 0.000), Pr at (0.000, 0.000, 0.500), Hg at (0.250, 0.250, 0.250) and Au at (0.250, 0.250, 0.750).

The value obtained for the calculated density is 10.4 Mg/m³. The energy above the lowest structure with this stoichiometry comes out at 21 meV/atom. The value obtained for the energy of formation is -0.4973 eV per atom.

=====

No. 9
CePrHgAu: relaxed, GGA-PBE.

The space group is P4mm (No. 99) and the conventional cell measures 3.762, 3.762 and 7.656 Å, with angles of 90.00, 90.00 and 90.00 degrees. The distinct sites, in fractional coordinates, are Ce at (0.000, 0.000, 0.000), Pr at (0.000, 0.000, 0.527), Hg at (0.500, 0.500, 0.261) and Au at (0.500, 0.500, 0.770).

The value obtained for the calculated density is 10.4 Mg/m³. The energy above the lowest structure with this stoichiometry comes out at 0 meV/atom. The value obtained for the energy of formation is -0.5188 eV per atom.

=====

No. 10
Ce2HgPtAu: relaxed, GGA-PBE.

The space group is P2_1/m (No. 11) and the conventional cell measures 7.187, 4.675 and 7.576 Å, with angles of 90.00, 106.98 and 90.00 degrees. The distinct sites, in fractional coordinates, are Ce at (0.017, 0.250, 0.196), Ce at (0.348, 0.750, 0.647), Hg at (0.338, 0.750, 0.211), Pt at (0.078, 0.250, 0.599) and Au at (0.321, 0.250, 0.965).

The value obtained for the calculated density is 11.9 Mg/m³. The value obtained for the energy of formation is -0.6635 eV per atom.

=====

No. 11
CePuHgAu: relaxed, GGA-PBE.

The space group is F-43m (No. 216) and the conventional cell measures 7.464, 7.464 and 7.464 Å, with angles of 90.00, 90.00 and 90.00 degrees. The distinct sites, in fractional coordinates, are Ce at (0.000, 0.000, 0.000), Pu at (0.000, 0.000, 0.500), Hg at (0.250, 0.250, 0.250) and Au at (0.250, 0.250, 0.750).

The value obtained for the calculated density is 12.5 Mg/m³. The energy above the lowest structure with this stoichiometry comes out at 23 meV/atom. The value obtained for the energy of formation is -0.3315 eV per atom.

=====

No. 12
CePu2Hg2Au2: relaxed, GGA-PBE.

The space group is R-3m (No. 166, hexagonal axes) and the conventional cell measures 5.0148, 5.0148 and 22.7089 Å, with angles of 90.00, 90.00 and 120.00 degrees. The distinct sites, in fractional coordinates, are Ce at (0.0000, 0.0000, 0.0000), Pu at (0.0000, 0.0000, 0.1335), Hg at (0.0000, 0.0000, 0.2725) and Au at (0.0000, 0.0000, 0.4167).

The value obtained for the calculated density is 14.3 Mg/m³. The value obtained for the energy of formation is -0.3122 eV per atom.